Record 1
BaZr4Cd: relaxed, PBE.

Lattice parameters (Å, degrees): 6.110 6.110 6.110 60.00 60.00 60.00
Atoms (fractional coordinates):
1 Ba 0.000 0.000 0.000
2 Zr 0.376 0.376 0.376
3 Zr 0.376 0.376 0.873
4 Zr 0.376 0.873 0.376
5 Zr 0.873 0.376 0.376
6 Cd 0.750 0.750 0.750

## Properties
Fermi-level density of states ... 9.46 states/eV per cell
Density ... 6.328 Mg/m³
Formation energy ... 0.4600 eV per atom
Space group ... F-43m (216)

Record 2
Nd2Zn3Ag6: relaxed, PBE.

Lattice parameters (Å, degrees): 7.812 7.812 4.392 90.00 90.00 120.00
Atoms (fractional coordinates):
1 Nd 0.333 0.667 0.000
2 Nd 0.667 0.333 0.000
3 Zn 0.000 0.394 0.500
4 Zn 0.394 0.000 0.500
5 Zn 0.606 0.606 0.500
6 Ag 0.000 0.209 0.000
7 Ag 0.000 0.725 0.500
8 Ag 0.209 0.000 0.000
9 Ag 0.275 0.275 0.500
10 Ag 0.725 0.000 0.500
11 Ag 0.791 0.791 0.000

## Properties
Fermi-level density of states ... 6.14 states/eV per cell
Density ... 8.098 Mg/m³
Formation energy ... -0.1652 eV per atom
Space group ... P-62m (189)

Record 3
CaLa2ThP4: relaxed, PBE.

Lattice parameters (Å, degrees): 7.281 4.235 7.300 90.00 109.27 90.00
Atoms (fractional coordinates):
1 Ca 0.000 0.000 0.000
2 La 0.000 0.500 0.500
3 La 0.500 0.000 0.500
4 Th 0.500 0.500 0.000
5 P 0.256 0.500 0.246
6 P 0.257 0.000 0.758
7 P 0.743 0.000 0.242
8 P 0.744 0.500 0.754

## Properties
Fermi-level density of states ... 1.23 states/eV per cell
Density ... 5.266 Mg/m³
Formation energy ... -1.4670 eV per atom
Space group ... P2/m (10)

Record 4
VCdIr2: relaxed, PBE.

Lattice parameters (Å, degrees): 7.111 7.111 5.458 90.00 90.00 90.00
Atoms (fractional coordinates):
1 V 0.000 0.000 0.000
2 V 0.000 0.500 0.250
3 V 0.500 0.000 0.750
4 V 0.500 0.500 0.500
5 Cd 0.000 0.000 0.500
6 Cd 0.000 0.500 0.750
7 Cd 0.500 0.000 0.250
8 Cd 0.500 0.500 0.000
9 Ir 0.198 0.250 0.125
10 Ir 0.250 0.698 0.375
11 Ir 0.250 0.802 0.875
12 Ir 0.302 0.250 0.625
13 Ir 0.698 0.750 0.625
14 Ir 0.750 0.198 0.875
15 Ir 0.750 0.302 0.375
16 Ir 0.802 0.750 0.125

## Properties
Fermi-level density of states ... 12.44 states/eV per cell
Density ... 13.183 Mg/m³
Formation energy ... 0.2448 eV per atom
Space group ... I-42d (122)

Record 5
Ca2As4Rh3: relaxed, PBE.

Lattice parameters (Å, degrees): 7.963 6.813 5.743 78.21 56.88 44.90
Atoms (fractional coordinates):
1 Ca 0.137 0.137 0.863
2 Ca 0.863 0.863 0.137
3 As 0.186 0.511 0.489
4 As 0.489 0.814 0.186
5 As 0.511 0.186 0.814
6 As 0.814 0.489 0.511
7 Rh 0.000 0.000 0.500
8 Rh 0.500 0.500 0.000
9 Rh 0.500 0.500 0.500

## Properties
Fermi-level density of states ... 4.84 states/eV per cell
Density ... 6.526 Mg/m³
Formation energy ... -0.7110 eV per atom
Space group ... Fmmm (69)

Record 6
Fe2SiSe: relaxed, PBE.

Lattice parameters (Å, degrees): 3.457 3.457 8.893 90.00 90.00 90.00
Atoms (fractional coordinates):
1 Fe 0.000 0.000 0.000
2 Fe 0.000 0.500 0.250
3 Fe 0.500 0.000 0.750
4 Fe 0.500 0.500 0.500
5 Si 0.000 0.000 0.500
6 Si 0.500 0.500 0.000
7 Se 0.000 0.500 0.750
8 Se 0.500 0.000 0.250

## Properties
Fermi-level density of states ... 8.18 states/eV per cell
Density ... 6.834 Mg/m³
Formation energy from raw total energies ... 260.8 meV/atom
Space group ... I-4m2 (119)

Record 7
CdAgSb4: relaxed, PBE.

Lattice parameters (Å, degrees): 6.239 6.239 6.239 60.00 60.00 60.00
Atoms (fractional coordinates):
1 Cd 0.000 0.000 0.000
2 Ag 0.250 0.250 0.250
3 Sb 0.124 0.625 0.625
4 Sb 0.625 0.124 0.625
5 Sb 0.625 0.625 0.124
6 Sb 0.625 0.625 0.625

## Properties
Fermi-level density of states ... 2.53 states/eV per cell
Density ... 6.840 Mg/m³
Formation energy from raw total energies ... 366.7 meV/atom
Space group ... F-43m (216)

Record 8
NdZr2Ni9: relaxed, PBE.

Lattice parameters (Å, degrees): 8.472 8.472 8.472 33.84 33.84 33.84
Atoms (fractional coordinates):
1 Nd 0.000 0.000 0.000
2 Zr 0.140 0.140 0.140
3 Zr 0.860 0.860 0.860
4 Ni 0.082 0.588 0.588
5 Ni 0.334 0.334 0.334
6 Ni 0.412 0.412 0.918
7 Ni 0.412 0.918 0.412
8 Ni 0.500 0.500 0.500
9 Ni 0.588 0.082 0.588
10 Ni 0.588 0.588 0.082
11 Ni 0.666 0.666 0.666
12 Ni 0.918 0.412 0.412

## Properties
Fermi-level density of states ... 13.21 states/eV per cell
Density ... 8.448 Mg/m³
Formation energy ... -0.3927 eV per atom
Space group ... R-3m (166)

Record 9
CaDyZnCd: relaxed, PBE.

Lattice parameters (Å, degrees): 3.705 3.705 7.420 90.00 90.00 90.00
Atoms (fractional coordinates):
1 Ca 0.000 0.000 0.000
2 Dy 0.000 0.000 0.529
3 Zn 0.500 0.500 0.743
4 Cd 0.500 0.500 0.276

## Properties
Fermi-level density of states ... 3.16 states/eV per cell
Density ... 6.201 Mg/m³
Formation energy ... -0.3175 eV per atom
Space group ... P4mm (99)

Record 10
KThB2O6: relaxed, PBE.

Lattice parameters (Å, degrees): 6.625 6.625 7.305 102.65 102.65 99.76
Atoms (fractional coordinates):
1 K 0.124 0.876 0.750
2 K 0.876 0.124 0.250
3 Th 0.405 0.595 0.250
4 Th 0.595 0.405 0.750
5 B 0.142 0.394 0.754
6 B 0.394 0.142 0.254
7 B 0.606 0.858 0.746
8 B 0.858 0.606 0.246
9 O 0.063 0.587 0.277
10 O 0.211 0.247 0.634
11 O 0.247 0.211 0.134
12 O 0.302 0.536 0.909
13 O 0.413 0.937 0.223
14 O 0.464 0.698 0.591
15 O 0.536 0.302 0.409
16 O 0.587 0.063 0.777
17 O 0.698 0.464 0.091
18 O 0.753 0.789 0.866
19 O 0.789 0.753 0.366
20 O 0.937 0.413 0.723

## Properties
Fermi-level density of states ... 8.57 states/eV per cell
Density ... 4.345 Mg/m³
Formation energy from raw total energies ... -2599.1 meV/atom
Space group ... C2/c (15)

Record 11
BMo2H: relaxed, PBE.

Lattice parameters (Å, degrees): 5.474 5.474 5.519 90.00 90.00 90.00
Atoms (fractional coordinates):
1 B 0.000 0.000 0.000
2 B 0.000 0.500 0.250
3 B 0.500 0.000 0.750
4 B 0.500 0.500 0.500
5 Mo 0.209 0.250 0.625
6 Mo 0.250 0.709 0.875
7 Mo 0.250 0.791 0.375
8 Mo 0.291 0.250 0.125
9 Mo 0.709 0.750 0.125
10 Mo 0.750 0.209 0.375
11 Mo 0.750 0.291 0.875
12 Mo 0.791 0.750 0.625
13 H 0.000 0.000 0.500
14 H 0.000 0.500 0.750
15 H 0.500 0.000 0.250
16 H 0.500 0.500 0.000

## Properties
Fermi-level density of states ... 14.55 states/eV per cell
Density ... 8.181 Mg/m³
Uncorrected energy ... -125.0 eV per cell
Space group ... I-42d (122)

Record 12
Tb2Pd5Pt5: relaxed, PBE.

Lattice parameters (Å, degrees): 4.498 5.327 9.173 90.00 90.00 90.00
Atoms (fractional coordinates):
1 Tb 0.000 0.000 0.000
2 Tb 0.000 0.500 0.500
3 Pd 0.000 0.000 0.332
4 Pd 0.000 0.000 0.668
5 Pd 0.000 0.500 0.167
6 Pd 0.000 0.500 0.833
7 Pd 0.500 0.000 0.500
8 Pt 0.500 0.249 0.249
9 Pt 0.500 0.249 0.751
10 Pt 0.500 0.500 0.000
11 Pt 0.500 0.751 0.249
12 Pt 0.500 0.751 0.751

## Properties
Fermi-level density of states ... 10.70 states/eV per cell
Density ... 13.791 Mg/m³
Formation energy ... -0.6201 eV per atom
Space group ... Pmmm (47)

Record 13
SrAc4Co2: relaxed, PBE.

Lattice parameters (Å, degrees): 20.238 4.272 7.170 90.00 102.57 90.00
Atoms (fractional coordinates):
1 Sr 0.000 0.000 0.000
2 Sr 0.500 0.500 0.000
3 Ac 0.168 0.000 0.535
4 Ac 0.176 0.500 0.041
5 Ac 0.324 0.000 0.959
6 Ac 0.332 0.500 0.465
7 Ac 0.668 0.500 0.535
8 Ac 0.676 0.000 0.041
9 Ac 0.824 0.500 0.959
10 Ac 0.832 0.000 0.465
11 Co 0.248 0.500 0.742
12 Co 0.252 0.000 0.258
13 Co 0.748 0.000 0.742
14 Co 0.752 0.500 0.258

## Properties
Fermi-level density of states ... 11.31 states/eV per cell
Density ... 6.112 Mg/m³
Formation energy ... 0.0648 eV per atom
Space group ... C2/m (12)

Record 14
ZnBiSe2Br: relaxed, PBE.

Lattice parameters (Å, degrees): 5.045 5.045 4.953 90.00 90.00 90.00
Atoms (fractional coordinates):
1 Zn 0.000 0.000 0.000
2 Bi 0.500 0.500 0.500
3 Se 0.000 0.500 0.000
4 Se 0.500 0.000 0.000
5 Br 0.000 0.000 0.500

## Properties
Fermi-level density of states ... 3.09 states/eV per cell
Density ... 6.747 Mg/m³
Formation energy from raw total energies ... 8.0 meV/atom
Space group ... P4/mmm (123)

Record 15
RbGa2AgSb: relaxed, PBE.

Lattice parameters (Å, degrees): 5.603 5.603 5.436 90.00 90.00 90.00
Atoms (fractional coordinates):
1 Rb 0.000 0.000 0.000
2 Ga 0.000 0.500 0.500
3 Ga 0.500 0.000 0.500
4 Ag 0.500 0.500 0.000
5 Sb 0.500 0.500 0.500

## Properties
Fermi-level density of states ... 3.00 states/eV per cell
Density ... 4.422 Mg/m³
Formation energy from raw total energies ... 268.3 meV/atom
Space group ... P4/mmm (123)

Record 16
Sc2Fe3Ru: relaxed, PBE.

Lattice parameters (Å, degrees): 4.922 4.922 8.368 90.00 90.00 120.00
Atoms (fractional coordinates):
1 Sc 0.333 0.667 0.064
2 Sc 0.333 0.667 0.436
3 Sc 0.667 0.333 0.564
4 Sc 0.667 0.333 0.936
5 Fe 0.171 0.343 0.750
6 Fe 0.171 0.829 0.750
7 Fe 0.343 0.171 0.250
8 Fe 0.657 0.829 0.750
9 Fe 0.829 0.171 0.250
10 Fe 0.829 0.657 0.250
11 Ru 0.000 0.000 0.000
12 Ru 0.000 0.000 0.500

## Properties
Fermi-level density of states ... 6.60 states/eV per cell
Density ... 6.781 Mg/m³
Formation energy ... -0.3177 eV per atom
Space group ... P6_3/mmc (194)

Record 17
La8Ge5Rh: relaxed, PBE.

Lattice parameters (Å, degrees): 8.075 8.075 8.075 109.95 109.95 108.51
Atoms (fractional coordinates):
1 La 0.009 0.643 0.761
2 La 0.247 0.496 0.115
3 La 0.357 0.118 0.366
4 La 0.382 0.132 0.885
5 La 0.504 0.618 0.750
6 La 0.752 0.991 0.634
7 La 0.868 0.753 0.250
8 La 0.882 0.248 0.239
9 Ge 0.123 0.254 0.629
10 Ge 0.250 0.750 0.500
11 Ge 0.506 0.877 0.131
12 Ge 0.625 0.494 0.371
13 Ge 0.746 0.375 0.869
14 Rh 0.000 0.000 0.000

## Properties
Fermi-level density of states ... 6.12 states/eV per cell
Density ... 6.464 Mg/m³
Formation energy ... -0.7815 eV per atom
Space group ... I-4 (82)

Record 18
Tb3Sm8Tm: relaxed, PBE.

Lattice parameters (Å, degrees): 6.938 6.938 9.769 97.11 97.11 119.33
Atoms (fractional coordinates):
1 Tb 0.000 0.000 0.000
2 Tb 0.000 0.500 0.500
3 Tb 0.500 0.000 0.500
4 Sm 0.179 0.179 0.673
5 Sm 0.182 0.670 0.166
6 Sm 0.319 0.319 0.340
7 Sm 0.330 0.818 0.834
8 Sm 0.670 0.182 0.166
9 Sm 0.681 0.681 0.660
10 Sm 0.818 0.330 0.834
11 Sm 0.821 0.821 0.327
12 Tm 0.500 0.500 0.000

## Properties
Fermi-level density of states ... 25.22 states/eV per cell
Density ... 7.725 Mg/m³
Formation energy ... 0.1204 eV per atom
Space group ... C2/m (12)

Record 19
EuYTlGa: relaxed, PBE.

Lattice parameters (Å, degrees): 7.566 7.566 7.566 90.00 90.00 90.00
Atoms (fractional coordinates):
1 Eu 0.000 0.000 0.000
2 Eu 0.000 0.500 0.500
3 Eu 0.500 0.000 0.500
4 Eu 0.500 0.500 0.000
5 Y 0.000 0.000 0.500
6 Y 0.000 0.500 0.000
7 Y 0.500 0.000 0.000
8 Y 0.500 0.500 0.500
9 Tl 0.250 0.250 0.250
10 Tl 0.250 0.750 0.750
11 Tl 0.750 0.250 0.750
12 Tl 0.750 0.750 0.250
13 Ga 0.250 0.250 0.750
14 Ga 0.250 0.750 0.250
15 Ga 0.750 0.250 0.250
16 Ga 0.750 0.750 0.750

## Properties
Fermi-level density of states ... 30.65 states/eV per cell
Density ... 7.896 Mg/m³
Formation energy ... -0.4123 eV per atom
Space group ... F-43m (216)

Record 20
AlPtBr2: relaxed, PBE.

Lattice parameters (Å, degrees): 4.970 4.970 3.405 90.00 90.00 90.00
Atoms (fractional coordinates):
1 Al 0.000 0.000 0.000
2 Pt 0.500 0.500 0.000
3 Br 0.000 0.500 0.500
4 Br 0.500 0.000 0.500

## Properties
Fermi-level density of states ... 3.91 states/eV per cell
Density ... 7.539 Mg/m³
Formation energy from raw total energies ... 449.1 meV/atom
Space group ... P4/mmm (123)

Record 21
LiZn2Se: relaxed, PBE.

Lattice parameters (Å, degrees): 6.628 6.628 6.628 90.00 90.00 90.00
Atoms (fractional coordinates):
1 Li 0.000 0.000 0.000
2 Li 0.000 0.500 0.500
3 Li 0.500 0.000 0.500
4 Li 0.500 0.500 0.000
5 Zn 0.000 0.000 0.500
6 Zn 0.000 0.500 0.000
7 Zn 0.250 0.250 0.750
8 Zn 0.250 0.750 0.250
9 Zn 0.500 0.000 0.000
10 Zn 0.500 0.500 0.500
11 Zn 0.750 0.250 0.250
12 Zn 0.750 0.750 0.750
13 Se 0.250 0.250 0.250
14 Se 0.250 0.750 0.750
15 Se 0.750 0.250 0.750
16 Se 0.750 0.750 0.250

## Properties
Fermi-level density of states ... 13.62 states/eV per cell
Density ... 4.943 Mg/m³
Formation energy from raw total energies ... -156.1 meV/atom
Space group ... F-43m (216)

Record 22
Nb5Cr: relaxed, PBE.

Lattice parameters (Å, degrees): 4.720 13.450 3.261 90.00 90.00 90.00
Atoms (fractional coordinates):
1 Nb 0.000 0.000 0.000
2 Nb 0.000 0.166 0.500
3 Nb 0.000 0.343 0.000
4 Nb 0.000 0.657 0.000
5 Nb 0.000 0.834 0.500
6 Nb 0.500 0.157 0.000
7 Nb 0.500 0.334 0.500
8 Nb 0.500 0.500 0.000
9 Nb 0.500 0.666 0.500
10 Nb 0.500 0.843 0.000
11 Cr 0.000 0.500 0.500
12 Cr 0.500 0.000 0.500

## Properties
Fermi-level density of states ... 17.92 states/eV per cell
Density ... 8.286 Mg/m³
Formation energy ... 0.0408 eV per atom
Space group ... Cmmm (65)

Record 23
CaInCu: relaxed, PBE.

Lattice parameters (Å, degrees): 4.663 4.663 3.749 90.00 90.00 120.00
Atoms (fractional coordinates):
1 Ca 0.000 0.000 0.000
2 In 0.333 0.667 0.500
3 Cu 0.667 0.333 0.500

## Properties
Fermi-level density of states ... 1.39 states/eV per cell
Density ... 5.139 Mg/m³
Formation energy ... -0.2637 eV per atom
Space group ... P-6m2 (187)

Record 24
BiPb3I: relaxed, PBE.

Lattice parameters (Å, degrees): 6.162 6.162 6.162 90.00 90.00 90.00
Atoms (fractional coordinates):
1 Bi 0.000 0.000 0.000
2 Pb 0.000 0.000 0.500
3 Pb 0.000 0.500 0.000
4 Pb 0.500 0.000 0.000
5 I 0.500 0.500 0.500

## Properties
Fermi-level density of states ... 6.41 states/eV per cell
Density ... 6.795 Mg/m³
Formation energy from raw total energies ... 438.9 meV/atom
Space group ... Pm-3m (221)

Record 25
AlZn3S: relaxed, PBE.

Lattice parameters (Å, degrees): 4.841 4.841 4.841 90.00 90.00 90.00
Atoms (fractional coordinates):
1 Al 0.000 0.000 0.000
2 Zn 0.000 0.000 0.500
3 Zn 0.000 0.500 0.000
4 Zn 0.500 0.000 0.000
5 S 0.500 0.500 0.500

## Properties
Fermi-level density of states ... 6.13 states/eV per cell
Density ... 3.736 Mg/m³
Formation energy from raw total energies ... 542.6 meV/atom
Space group ... Pm-3m (221)